1.
VASP calculation (GGA-PBE) on crystalline Nd3Ho2In at its relaxed geometry.

Geometry as extended XYZ:
```
12
Lattice="8.7001 0.0000 0.0000 0.0000 3.7389 0.0000 -0.1782 0.0000 11.7369" Properties=species:S:1:pos:R:3 pbc="T T T"
Nd 0.8011 0.9347 1.2059
Nd 2.9040 2.8042 6.6975
Nd 3.3554 2.8042 2.9413
Nd 5.1665 0.9347 8.7956
Nd 5.6179 0.9347 5.0394
Nd 7.7208 2.8042 10.5310
Ho 0.6489 0.9347 4.6146
Ho 2.9236 2.8042 10.8986
Ho 5.5983 0.9347 0.8383
Ho 7.8730 2.8042 7.1223
In 1.2710 0.9347 8.8709
In 7.2509 2.8042 2.8661
```

Its energy above the lowest structure with this stoichiometry is 31 meV per atom. For the volume, the calculation gives 190.9 Å³/f.u. As for the magnetization: 0.03 μB/cell. The formation energy is -0.1233 eV per atom.

***

2.
VASP calculation (GGA-PBE) on crystalline NdHo12In6 at its relaxed geometry.

Geometry as extended XYZ:
```
19
Lattice="6.9183 3.9943 3.7242 -6.9183 3.9943 3.7242 0.0000 -7.9885 3.7242" Properties=species:S:1:pos:R:3 pbc="T T T"
Nd 0.0000 0.0000 0.0000
Ho -2.6092 -4.5193 5.5863
Ho -5.2184 0.0000 5.5863
Ho -1.8421 -1.0635 3.9826
Ho 1.8421 -1.0635 3.9826
Ho 0.0000 2.1271 3.9826
Ho 2.6092 -4.5193 5.5863
Ho -2.6092 4.5193 5.5863
Ho 0.0000 -2.1271 7.1900
Ho -1.8421 1.0635 7.1900
Ho 1.8421 1.0635 7.1900
Ho 5.2184 0.0000 5.5863
Ho 2.6092 4.5193 5.5863
In 0.0000 -3.6564 4.4226
In -3.1666 1.8282 4.4226
In -3.1666 -1.8282 6.7499
In 3.1666 1.8282 4.4227
In 3.1666 -1.8282 6.7499
In 0.0000 3.6564 6.7499
```

For the volume, the calculation gives 617.5 Å³/f.u. As for the magnetization: 0.00 μB/cell. The formation energy is -0.0459 eV per atom.

***

3.
VASP calculation (GGA-PBE) on crystalline NdHo2In2 at its relaxed geometry.

Geometry as extended XYZ:
```
10
Lattice="-2.3122 2.3122 14.4777 2.3122 -2.3122 14.4777 2.3122 2.3122 -14.4777" Properties=species:S:1:pos:R:3 pbc="T T T"
Nd 0.0000 0.0000 3.8846
Nd 0.0000 0.0000 25.0708
Ho 2.3122 0.0000 7.2389
Ho 0.0000 0.0000 12.3553
Ho 0.0000 0.0000 16.6002
Ho 0.0000 2.3122 7.2389
In 2.3122 0.0000 0.0000
In 0.0000 0.0000 9.4006
In 0.0000 2.3122 0.0000
In 0.0000 0.0000 19.5549
```

Its energy above the lowest structure with this stoichiometry is 214 meV per atom. For the volume, the calculation gives 154.8 Å³/f.u. As for the magnetization: 0.00 μB/cell. The formation energy is -0.1576 eV per atom.

***

4.
VASP calculation (GGA-PBE) on crystalline NdHo5In3 at its relaxed geometry.

Geometry as extended XYZ:
```
18
Lattice="9.3605 0.0000 0.0000 -4.6803 8.1065 0.0000 0.0000 0.0000 6.7297" Properties=species:S:1:pos:R:3 pbc="T T T"
Nd 0.0000 0.0000 0.0000
Nd 0.0000 0.0000 3.3648
Ho -1.5480 2.6812 1.6824
Ho -3.1323 5.4253 5.0473
Ho 3.0959 0.0000 1.6824
Ho 1.5480 2.6812 5.0473
Ho 0.0000 5.4043 0.0000
Ho 0.0000 5.4043 3.3648
Ho 4.6803 2.7022 0.0000
Ho 4.6803 2.7022 3.3648
Ho 6.2646 0.0000 5.0473
Ho 3.1323 5.4253 1.6824
In -1.5909 2.7555 5.0473
In -3.0894 5.3509 1.6824
In 3.1818 0.0000 5.0473
In 1.5909 2.7555 1.6824
In 6.1787 0.0000 1.6824
In 3.0894 5.3509 5.0473
```

For the volume, the calculation gives 255.3 Å³/f.u. As for the magnetization: 0.04 μB/cell. The formation energy is -0.3482 eV per atom.

***

5.
VASP calculation (GGA-PBE) on crystalline NdHoIn at its relaxed geometry.

Geometry as extended XYZ:
```
6
Lattice="-1.7549 1.7549 14.8999 1.7549 -1.7549 14.8999 1.7549 1.7549 -14.8999" Properties=species:S:1:pos:R:3 pbc="T T T"
Nd 0.0000 0.0000 1.8212
Nd 0.0000 0.0000 27.9785
Ho 0.0000 0.0000 6.1603
Ho 0.0000 0.0000 23.6394
In 0.0000 0.0000 10.9074
In 0.0000 0.0000 18.8923
```

Its energy above the lowest structure with this stoichiometry is 112 meV per atom. For the volume, the calculation gives 91.8 Å³/f.u. As for the magnetization: 0.00 μB/cell. The formation energy is -0.2296 eV per atom.

***

6.
VASP calculation (GGA-PBE) on crystalline NdHoIn at its relaxed geometry.

Geometry as extended XYZ:
```
6
Lattice="5.4763 0.0000 0.0000 -2.7381 4.7426 0.0000 0.0000 0.0000 6.7891" Properties=species:S:1:pos:R:3 pbc="T T T"
Nd 0.0000 0.0000 0.0000
Nd 0.0000 0.0000 3.3946
Ho 0.0000 3.1617 1.6973
Ho 2.7381 1.5809 5.0918
In 0.0000 3.1617 5.0918
In 2.7381 1.5809 1.6973
```

Its energy above the lowest structure with this stoichiometry is 0 meV per atom. For the volume, the calculation gives 88.2 Å³/f.u. As for the magnetization: 0.00 μB/cell. The formation energy is -0.3421 eV per atom.

***

7.
VASP calculation (GGA-PBE) on crystalline Nd3HoIn at its relaxed geometry.

Geometry as extended XYZ:
```
10
Lattice="6.0752 0.0000 0.0000 1.6352 6.7779 0.0000 2.4009 1.0595 7.6214" Properties=species:S:1:pos:R:3 pbc="T T T"
Nd 1.8994 3.0069 2.3020
Nd 2.8781 6.4147 2.1861
Nd 5.2189 5.7351 6.8897
Nd 4.8924 2.1023 0.7317
Nd 7.2332 1.4227 5.4353
Nd 8.2119 4.8304 5.3194
Ho 4.2381 0.5297 3.8107
Ho 5.0557 3.9187 3.8107
In 4.2133 2.3989 6.7703
In 5.8981 5.4385 0.8510
```

Its energy above the lowest structure with this stoichiometry is 35 meV per atom. For the volume, the calculation gives 156.9 Å³/f.u. As for the magnetization: 0.00 μB/cell. The formation energy is -0.1531 eV per atom.

***

8.
VASP calculation (GGA-PBE) on crystalline NdHoIn2 at its relaxed geometry.

Geometry as extended XYZ:
```
4
Lattice="0.0000 3.8113 3.8113 3.8113 0.0000 3.8113 3.8113 3.8113 0.0000" Properties=species:S:1:pos:R:3 pbc="T T T"
Nd 0.0000 0.0000 0.0000
Ho 3.8113 3.8113 3.8113
In 1.9057 1.9057 1.9057
In 5.7170 5.7170 5.7170
```

Its energy above the lowest structure with this stoichiometry is 6 meV per atom. For the volume, the calculation gives 110.7 Å³/f.u. As for the magnetization: 0.00 μB/cell. The formation energy is -0.4742 eV per atom.

***

9.
VASP calculation (GGA-PBE) on crystalline NdHo3In3 at its relaxed geometry.

Geometry as extended XYZ:
```
14
Lattice="9.4176 0.0000 0.0000 -4.7088 8.1559 0.0000 0.0000 0.0000 5.1657" Properties=species:S:1:pos:R:3 pbc="T T T"
Nd 0.0000 5.4373 1.2914
Nd 4.7088 2.7186 3.8743
Ho 8.3283 1.8864 1.2914
Ho -3.6195 6.2694 3.8743
Ho 2.1783 0.0001 1.2914
Ho 1.0891 1.8866 3.8743
Ho 2.5305 8.1557 3.8743
Ho 3.6197 6.2693 1.2914
In -1.4736 3.6842 3.8743
In -0.7814 7.5900 3.8743
In 2.4538 3.1183 1.2914
In 2.2550 5.0376 3.8743
In 5.4902 0.5659 1.2914
In 6.1824 4.4717 1.2914
```

Its energy above the lowest structure with this stoichiometry is 0 meV per atom. For the volume, the calculation gives 198.4 Å³/f.u. As for the magnetization: 0.00 μB/cell. The formation energy is -0.3580 eV per atom.

***

10.
VASP calculation (GGA-PBE) on crystalline Nd4Ho7In at its relaxed geometry.

Geometry as extended XYZ:
```
12
Lattice="5.7125 -2.7751 0.0000 5.7125 2.7751 0.0000 -2.9450 0.0000 12.7253" Properties=species:S:1:pos:R:3 pbc="T T T"
Nd -0.2186 0.0000 3.5286
Nd 3.1928 0.0000 2.8920
Nd 5.2872 0.0000 9.8333
Nd 8.6987 0.0000 9.1967
Ho -1.2573 0.0000 12.3151
Ho 1.1718 0.0000 7.7911
Ho 2.0420 0.0000 11.1596
Ho 4.2400 0.0000 6.3626
Ho 6.4380 0.0000 1.5657
Ho 7.3082 0.0000 4.9342
Ho 9.7374 0.0000 0.4101
In -1.4725 0.0000 6.3626
```

For the volume, the calculation gives 403.5 Å³/f.u. As for the magnetization: 0.00 μB/cell. The formation energy is 0.1483 eV per atom.

***

11.
VASP calculation (GGA-PBE) on crystalline Nd3Ho3In at its relaxed geometry.

Geometry as extended XYZ:
```
28
Lattice="12.7683 0.0000 0.0000 0.0000 5.4839 0.0000 0.0000 0.0000 12.8745" Properties=species:S:1:pos:R:3 pbc="T T T"
Nd 1.6917 1.3710 2.3247
Nd 1.7174 4.1129 10.5271
Nd 2.7653 4.1129 5.2504
Nd 3.6188 1.3710 11.6876
Nd 4.6667 1.3710 4.0899
Nd 4.6925 4.1129 8.7619
Nd 8.0759 1.3710 4.1126
Nd 8.1016 4.1129 8.7846
Nd 9.1495 4.1129 1.1869
Nd 10.0030 1.3710 7.6241
Nd 11.0509 1.3710 2.3474
Nd 11.0766 4.1129 10.5498
Ho 0.0183 4.1129 7.3981
Ho 0.0434 4.1129 0.7537
Ho 2.7494 1.3710 7.5548
Ho 3.6348 4.1129 1.1176
Ho 6.3407 1.3710 7.1910
Ho 6.3659 1.3710 0.9608
Ho 6.4025 4.1129 11.9137
Ho 6.4276 4.1129 5.6835
Ho 9.1335 1.3710 11.7569
Ho 10.0190 4.1129 5.3197
Ho 12.7249 1.3710 12.1208
Ho 12.7500 1.3710 5.4765
In 0.0655 1.3710 9.1255
In 6.3187 4.1129 2.6883
In 6.4496 1.3710 10.1862
In 12.7029 4.1129 3.7490
```

Its energy above the lowest structure with this stoichiometry is 48 meV per atom. For the volume, the calculation gives 225.4 Å³/f.u. As for the magnetization: 0.00 μB/cell. The formation energy is -0.0645 eV per atom.

***

12.
VASP calculation (GGA-PBE) on crystalline Nd3Ho3In2 at its relaxed geometry.

Geometry as extended XYZ:
```
16
Lattice="2.5835 -5.9613 0.0000 2.5835 5.9613 0.0000 0.0000 0.0000 16.3857" Properties=species:S:1:pos:R:3 pbc="T T T"
Nd 2.5835 5.4622 9.9007
Nd 2.5835 5.4622 14.6779
Nd 2.5835 2.7663 12.2893
Nd 2.5835 -2.7663 4.0964
Nd 2.5835 -5.4622 1.7079
Nd 2.5835 -5.4622 6.4850
Ho 2.5835 1.6564 8.8148
Ho 2.5835 1.6564 15.7638
Ho 2.5835 0.5641 4.0964
Ho 2.5835 -0.5641 12.2893
Ho 2.5835 -1.6564 0.6220
Ho 2.5835 -1.6564 7.5709
In 2.5835 3.1339 2.1585
In 2.5835 3.1339 6.0344
In 2.5835 -3.1339 10.3514
In 2.5835 -3.1339 14.2272
```

Its energy above the lowest structure with this stoichiometry is 103 meV per atom. For the volume, the calculation gives 252.4 Å³/f.u. As for the magnetization: 0.00 μB/cell. The formation energy is -0.1609 eV per atom.

***

13.
VASP calculation (GGA-PBE) on crystalline Nd2HoIn2 at its relaxed geometry.

Geometry as extended XYZ:
```
10
Lattice="3.8095 0.0000 0.0000 0.0000 5.4172 0.0000 -1.9101 0.0000 14.2298" Properties=species:S:1:pos:R:3 pbc="T T T"
Nd -0.0009 1.3543 1.3235
Nd -0.0006 1.3543 6.7374
Nd 1.9000 4.0629 7.4924
Nd 1.9004 4.0629 12.9062
Ho -0.0051 4.0629 4.2206
Ho 1.9045 1.3543 10.0092
In -0.0017 4.0629 10.1674
In -0.0046 1.3543 12.7111
In 1.9041 4.0629 1.5187
In 1.9011 1.3543 4.0623
```

Its energy above the lowest structure with this stoichiometry is 8 meV per atom. For the volume, the calculation gives 146.8 Å³/f.u. As for the magnetization: 0.00 μB/cell. The formation energy is -0.3707 eV per atom.

***

14.
VASP calculation (GGA-PBE) on crystalline Nd8Ho3In at its relaxed geometry.

Geometry as extended XYZ:
```
12
Lattice="-4.3618 4.3618 5.8015 4.3618 -4.3618 5.8015 4.3618 4.3618 -5.8015" Properties=species:S:1:pos:R:3 pbc="T T T"
Nd 3.2475 3.2475 -2.9299
Nd 2.1388 2.1388 -0.2174
Nd 2.2230 -2.2230 6.0189
Nd 1.1143 1.1143 2.8716
Nd 1.1143 -1.1143 8.7314
Nd 2.2230 2.2230 5.5841
Nd -2.2230 2.2230 6.0189
Nd -1.1143 1.1143 8.7314
Ho 0.0000 0.0000 0.0000
Ho 4.3618 0.0000 2.9007
Ho 0.0000 4.3618 2.9007
In 0.0000 0.0000 5.8015
```

For the volume, the calculation gives 441.5 Å³/f.u. As for the magnetization: 0.00 μB/cell. The formation energy is 0.4417 eV per atom.

***

15.
VASP calculation (GGA-PBE) on crystalline Nd5Ho2In at its relaxed geometry.

Geometry as extended XYZ:
```
8
Lattice="-2.5048 2.5048 10.2566 2.5048 -2.5048 10.2566 2.5048 2.5048 -10.2566" Properties=species:S:1:pos:R:3 pbc="T T T"
Nd 0.0000 0.0000 0.0000
Nd 2.5048 0.0000 2.5275
Nd 2.5048 0.0000 7.7291
Nd 0.0000 2.5048 2.5275
Nd 0.0000 2.5048 7.7291
Ho 0.0000 0.0000 5.0995
Ho 0.0000 0.0000 15.4138
In 0.0000 0.0000 10.2566
```

Its energy above the lowest structure with this stoichiometry is 0 meV per atom. For the volume, the calculation gives 257.4 Å³/f.u. As for the magnetization: 0.00 μB/cell. The formation energy is -0.1138 eV per atom.

***

16.
VASP calculation (GGA-PBE) on crystalline NdHoInNi at its relaxed geometry.

Geometry as extended XYZ:
```
4
Lattice="0.0000 3.6572 3.6572 3.6572 0.0000 3.6572 3.6572 3.6572 0.0000" Properties=species:S:1:pos:R:3 pbc="T T T"
Nd 0.0000 0.0000 0.0000
Ho 3.6572 3.6572 3.6572
In 1.8286 1.8286 1.8286
Ni 5.4858 5.4858 5.4858
```

For the volume, the calculation gives 97.8 Å³/f.u. As for the magnetization: 0.00 μB/cell. The formation energy is -0.2671 eV per atom.

***

17.
VASP calculation (GGA-PBE) on crystalline NdHo2InO at its relaxed geometry.

Geometry as extended XYZ:
```
5
Lattice="4.7605 0.0000 0.0000 0.0000 4.7605 0.0000 0.0000 0.0000 4.9959" Properties=species:S:1:pos:R:3 pbc="T T T"
Nd 0.0000 0.0000 0.0000
Ho 0.0000 2.3802 2.4979
Ho 2.3802 0.0000 2.4979
In 2.3802 2.3802 0.0000
O 0.0000 0.0000 2.4979
```

The uncorrected formation energy comes out at -1.41 eV/atom. For the volume, the calculation gives 113.2 Å³/f.u. As for the magnetization: 0.00 μB/cell.

***

18.
VASP calculation (GGA-PBE) on crystalline NdHoInPd at its relaxed geometry.

Geometry as extended XYZ:
```
4
Lattice="0.0000 3.7025 3.7025 3.7025 0.0000 3.7025 3.7025 3.7025 0.0000" Properties=species:S:1:pos:R:3 pbc="T T T"
Nd 0.0000 0.0000 0.0000
Ho 3.7025 3.7025 3.7025
In 1.8513 1.8513 1.8513
Pd 5.5538 5.5538 5.5538
```

For the volume, the calculation gives 101.5 Å³/f.u. As for the magnetization: 0.00 μB/cell. The formation energy is -0.5597 eV per atom.

***

19.
VASP calculation (GGA-PBE) on crystalline Pm3Nd6Ho2In at its relaxed geometry.

Geometry as extended XYZ:
```
12
Lattice="3.1248 -5.4400 0.0000 3.1248 5.4400 0.0000 -2.1464 0.0000 11.6839" Properties=species:S:1:pos:R:3 pbc="T T T"
Pm 0.0000 0.0000 0.0000
Pm 3.1248 1.8383 0.0000
Pm 3.1248 -1.8383 0.0000
Nd 1.0553 1.7762 3.0019
Nd -0.0122 0.0000 8.7109
Nd 1.0553 -1.7762 3.0019
Nd 3.0480 1.7762 8.6819
Nd 4.1155 0.0000 2.9730
Nd 3.0480 -1.7762 8.6819
Ho 2.0516 3.6365 5.8419
Ho 2.0516 -3.6365 5.8419
In 2.0516 0.0000 5.8419
```

For the volume, the calculation gives 397.2 Å³/f.u. As for the magnetization: 0.00 μB/cell. The formation energy is -0.0319 eV per atom.

***

20.
VASP calculation (GGA-PBE) on crystalline PmNdHo2In4 at its relaxed geometry.

Geometry as extended XYZ:
```
8
Lattice="2.6883 1.5521 8.7981 -2.6883 1.5521 8.7981 0.0000 -3.1042 8.7981" Properties=species:S:1:pos:R:3 pbc="T T T"
Pm 0.0000 0.0000 0.0000
Nd 0.0000 0.0000 13.1972
Ho 0.0000 0.0000 6.5982
Ho 0.0000 0.0000 19.7962
In 0.0000 0.0000 3.2912
In 0.0000 0.0000 9.8881
In 0.0000 0.0000 16.5062
In 0.0000 0.0000 23.1031
```

For the volume, the calculation gives 220.3 Å³/f.u. As for the magnetization: 0.00 μB/cell. The formation energy is -0.4726 eV per atom.